Record 1
Here is an optimized crystal structure of VInHRu2 from the Alexandria database. Energies are from PBE-GGA.

Structure (POSCAR):
```
VInHRu2
1.0
4.9640 0.0000 0.0000
0.0000 4.9640 0.0000
0.0000 0.0000 3.2671
V In H Ru
1 1 1 2
Cartesian
0.0000 0.0000 0.0000
2.4820 2.4820 1.6336
2.4820 2.4820 0.0000
0.0000 2.4820 1.6336
2.4820 0.0000 1.6336
```

Computed properties:
electronic total energy = -5.36 eV/atom
Fermi-level density of states = 1.22 states/eV/atom
V = 16.1 Å³/atom
crystal system = tetragonal



Record 2
Here is an optimized crystal structure of YIn2HRu from the Alexandria database. Energies are from PBE-GGA.

Structure (POSCAR):
```
YIn2HRu
1.0
5.7487 0.0000 0.0000
0.0000 5.7487 0.0000
0.0000 0.0000 3.6353
Y In H Ru
1 2 1 1
Cartesian
0.0000 0.0000 0.0000
0.0000 2.8744 0.0000
2.8744 0.0000 0.0000
0.0000 0.0000 1.8177
2.8744 2.8744 1.8177
```

Computed properties:
electronic total energy = -4.03 eV/atom
Fermi-level density of states = 0.91 states/eV/atom
V = 24.0 Å³/atom
crystal system = tetragonal



Record 3
Here is an optimized crystal structure of InHS from the Alexandria database. Energies are from PBE-GGA.

Structure (POSCAR):
```
InHS
1.0
-6.2660 6.2660 2.0079
6.2660 -6.2660 2.0079
6.2660 6.2660 -2.0079
In H S
4 4 4
Cartesian
2.6924 0.0000 0.0000
9.8395 0.0000 0.0000
0.0000 2.6924 0.0000
0.0000 9.8395 0.0000
1.3731 1.3731 0.0000
4.8929 -4.8929 2.0079
-4.8929 4.8929 2.0079
4.8929 4.8929 2.0079
6.2660 2.2455 0.0000
2.2455 6.2660 0.0000
4.0205 0.0000 2.0079
0.0000 4.0205 2.0079
```

Computed properties:
electronic total energy = -3.47 eV/atom
V = 26.3 Å³/atom
crystal system = tetragonal



Record 4
Here is an optimized crystal structure of InHS2 from the Alexandria database. Energies are from PBE-GGA.

Structure (POSCAR):
```
InHS2
1.0
1.4789 0.8538 8.1605
-1.4789 0.8538 8.1605
0.0000 -1.7077 8.1605
In H S
1 1 2
Cartesian
0.0000 0.0000 0.0000
0.0000 0.0000 12.2407
0.0000 0.0000 2.7248
0.0000 0.0000 21.7567
```

Computed properties:
Fermi-level density of states = 0.38 states/eV/atom
V = 15.5 Å³/atom
crystal system = trigonal
distance to the lowest polymorph of the same formula = 1.112 eV per atom



Record 5
Here is an optimized crystal structure of InHS from the Alexandria database. Energies are from PBE-GGA.

Structure (POSCAR):
```
InHS
1.0
3.7739 0.0000 0.0000
0.0000 7.5738 0.0000
-0.0102 0.0000 3.7905
In H S
2 2 2
Cartesian
0.0000 1.8934 0.0026
-0.0102 5.6803 3.7878
3.7674 1.8934 1.8973
-0.0037 5.6803 1.8931
1.8869 0.0000 0.0000
1.8869 3.7869 0.0000
```

Computed properties:
electronic total energy = -3.45 eV/atom
Fermi-level density of states = 0.47 states/eV/atom
V = 18.1 Å³/atom
crystal system = monoclinic



Record 6
Here is an optimized crystal structure of InHS2 from the Alexandria database. Energies are from PBE-GGA.

Structure (POSCAR):
```
InHS2
1.0
-2.6474 2.6474 5.2893
2.6474 -2.6474 5.2893
2.6474 2.6474 -5.2893
In H S
2 2 4
Cartesian
0.0000 0.0000 0.0000
0.0000 2.6474 2.6447
2.6474 0.0000 2.6447
0.0000 0.0000 5.2893
1.3237 -0.9960 3.9670
1.6514 1.3237 1.3223
1.3237 3.6434 -1.3223
0.9960 1.3237 6.6117
```

Computed properties:
Fermi-level density of states = 0.00 states/eV/atom
V = 18.5 Å³/atom
crystal system = tetragonal
distance to the lowest polymorph of the same formula = 0.358 eV per atom



Record 7
Here is an optimized crystal structure of InHS2 from the Alexandria database. Energies are from PBE-GGA.

Structure (POSCAR):
```
InHS2
1.0
3.9480 0.0000 0.0000
1.9365 3.4420 0.0000
0.3793 0.1870 6.9561
In H S
1 1 2
Cartesian
0.0000 0.0000 0.0000
4.7376 2.7792 2.5016
4.3069 2.4848 5.8425
5.9090 3.4646 2.4217
```

Computed properties:
V = 23.6 Å³/atom
crystal system = triclinic
distance to the lowest polymorph of the same formula = 0.000 eV per atom



Record 8
Here is an optimized crystal structure of In3H2S from the Alexandria database. Energies are from PBE-GGA.

Structure (POSCAR):
```
In3H2S
1.0
1.9336 -5.3817 0.0000
1.9336 5.3817 0.0000
-0.1318 0.0000 12.5740
In H S
6 4 2
Cartesian
1.8348 5.0465 9.4305
1.8554 1.5030 6.5550
1.8142 1.5030 12.3060
1.9213 -1.5030 0.2680
1.8801 -1.5030 6.0190
1.9007 -5.0465 3.1435
1.8266 4.2569 7.8454
1.8430 4.2569 11.0156
1.8925 -4.2569 1.5584
1.9089 -4.2569 4.7286
1.8348 1.3218 9.4305
1.9007 -1.3218 3.1435
```

Computed properties:
electronic total energy = -3.14 eV/atom
Fermi-level density of states = 0.21 states/eV/atom
V = 21.8 Å³/atom
crystal system = monoclinic



Record 9
Here is an optimized crystal structure of In3HS from the Alexandria database. Energies are from PBE-GGA.

Structure (POSCAR):
```
In3HS
1.0
4.8060 0.0000 0.0000
0.0000 4.8060 0.0000
0.0000 0.0000 4.8060
In H S
3 1 1
Cartesian
0.0000 0.0000 2.4030
0.0000 2.4030 0.0000
2.4030 0.0000 0.0000
0.0000 0.0000 0.0000
2.4030 2.4030 2.4030
```

Computed properties:
Fermi-level density of states = 0.18 states/eV/atom
V = 22.2 Å³/atom
crystal system = cubic
distance to the lowest polymorph of the same formula = 0.000 eV per atom



Record 10
Here is an optimized crystal structure of In2HS2 from the Alexandria database. Energies are from PBE-GGA.

Structure (POSCAR):
```
In2HS2
1.0
3.9523 0.0000 0.0000
-0.0375 6.9133 0.0000
-1.8212 -3.3047 8.5119
In H S
4 2 4
Cartesian
-0.0268 1.2598 1.0064
0.1384 -0.7980 7.2705
1.9553 4.4066 1.2414
2.1204 2.3488 7.5055
0.0751 3.5309 4.7644
2.0185 0.0777 3.7475
-0.0218 3.3732 2.5803
0.1325 3.6521 6.1547
1.9611 -0.0435 2.3572
2.1154 0.2354 5.9316
```

Computed properties:
Fermi-level density of states = 0.22 states/eV/atom
V = 23.3 Å³/atom
crystal system = triclinic
distance to the lowest polymorph of the same formula = 0.000 eV per atom



Record 11
Here is an optimized crystal structure of In2HS3 from the Alexandria database. Energies are from PBE-GGA.

Structure (POSCAR):
```
In2HS3
1.0
3.3473 -5.8917 0.0000
3.3473 5.8917 0.0000
-0.0107 0.0000 6.9085
In H S
4 2 6
Cartesian
3.3473 3.7182 0.0000
3.3419 3.7146 3.4543
3.3419 -3.7146 3.4543
3.3473 -3.7182 0.0000
2.1068 0.0000 1.7434
4.5771 0.0000 5.1651
0.7482 0.0000 1.7421
2.0657 2.1094 5.1687
2.0657 -2.1094 5.1687
4.6182 2.1094 1.7399
4.6182 -2.1094 1.7399
5.9357 0.0000 5.1665
```

Computed properties:
electronic total energy = -3.87 eV/atom
Fermi-level density of states = 0.18 states/eV/atom
V = 22.7 Å³/atom
crystal system = monoclinic



Record 12
Here is an optimized crystal structure of In4HS5 from the Alexandria database. Energies are from PBE-GGA.

Structure (POSCAR):
```
In4HS5
1.0
7.6688 0.0000 0.0000
0.0000 10.5223 0.0000
0.0000 0.0000 6.4967
In H S
8 2 10
Cartesian
0.1101 2.6306 0.1901
1.9172 5.6541 2.8882
1.9172 10.1295 2.8882
3.7243 2.6306 0.1901
3.9445 7.8918 6.3067
5.7516 0.3929 3.6085
5.7516 4.8683 3.6085
7.5587 7.8918 6.3067
1.9172 2.6306 6.0550
5.7516 7.8918 0.4418
0.1417 5.8712 4.7949
0.1417 9.9123 4.7949
1.9172 7.8918 1.4638
3.6926 5.8712 4.7949
3.6926 9.9123 4.7949
3.9761 0.6100 1.7019
3.9761 4.6511 1.7019
5.7516 2.6306 5.0330
7.5270 0.6100 1.7019
7.5270 4.6511 1.7019
```

Computed properties:
electronic total energy = -3.82 eV/atom
Fermi-level density of states = 0.26 states/eV/atom
V = 26.2 Å³/atom
crystal system = orthorhombic